DFT (PBE) results for a relaxed structure of Y4RuRh.

Values from the calculation:
energy of formation from the pure elements = -0.489 eV per atom
total moment = 0.00 μB/f.u.

Cell lengths 8.9805, 13.0424, 6.3385 Å; angles 90.00, 124.72, 90.00 degrees
Space group C2/c (No. 15)
Unique sites:
1 Y 0.1306 0.1764 0.1010 (multiplicity 8)
2 Y 0.1971 0.4363 0.2661 (multiplicity 8)
3 Ru 0.0000 0.0007 0.7500 (multiplicity 4)
4 Rh 0.0000 0.3642 0.7500 (multiplicity 4)